No. 1
Material: KTlTe
Method: DFT, PBE-GGA
State: optimized geometry

Geometry as POSCAR:
```
KTlTe
1.0
5.540 0.000 0.000
2.770 4.798 0.000
2.770 1.599 4.523
K Te Tl
1 1 1
direct
0.750 0.750 0.750
0.000 0.000 0.000
0.500 0.500 0.500
```

* DOS at the Fermi energy: 0.00 states/eV per cell
* energy relative to the lowest polymorph listed for this composition: 230 meV/atom
* volume: 40.1 Å³ per atom
* total DFT energy (no corrections): -0.19428 Ry per atom

***

No. 2
Material: KTlTe
Method: DFT, PBE-GGA
State: optimized geometry

Geometry as POSCAR:
```
KTlTe
1.0
4.922 0.000 0.000
-2.461 4.263 0.000
0.000 0.000 5.856
Tl Te K
1 1 1
direct
0.333 0.667 0.614
0.667 0.333 0.360
0.000 0.000 0.025
```

* DOS at the Fermi energy: 0.00 states/eV per cell
* energy relative to the lowest polymorph listed for this composition: 42 meV/atom
* volume: 41.0 Å³ per atom
* total DFT energy (no corrections): -0.20812 Ry per atom

***

No. 3
Material: KTlTe2
Method: DFT, PBE-GGA
State: optimized geometry

Geometry as POSCAR:
```
KTlTe2
1.0
-2.455 -1.175 -1.775
-1.417 -2.476 3.600
-5.346 7.039 2.738
K Te Tl
1 2 1
direct
0.500 0.500 0.750
0.000 0.000 0.001
0.000 0.000 0.499
0.500 0.500 0.250
```

* DOS at the Fermi energy: 3.84 states/eV per cell
* volume: 34.5 Å³ per atom
* total DFT energy (no corrections): -0.21081 Ry per atom

***

No. 4
Material: KTl2Te2
Method: DFT, PBE-GGA
State: optimized geometry

Geometry as POSCAR:
```
KTl2Te2
1.0
-3.948 -1.035 -2.111
-3.529 -1.675 2.420
-5.915 8.730 1.778
K Tl Te
1 2 2
direct
0.000 0.000 0.000
0.205 0.205 0.385
0.795 0.795 0.615
0.590 0.590 0.229
0.410 0.410 0.771
```

* DOS at the Fermi energy: 3.03 states/eV per cell
* energy relative to the lowest polymorph listed for this composition: 4 meV/atom
* volume: 37.9 Å³ per atom
* total DFT energy (no corrections): -0.21163 Ry per atom

***

No. 5
Material: KTlTe
Method: DFT, PBE-GGA
State: optimized geometry

Geometry as POSCAR:
```
KTlTe
1.0
-5.105 0.766 -2.092
-2.678 -4.235 -2.432
-4.409 -2.309 2.499
K Te Tl
1 1 1
direct
0.000 0.000 0.000
0.500 0.500 0.500
0.750 0.750 0.750
```

* energy relative to the lowest polymorph listed for this composition: 132 meV/atom
* volume: 40.7 Å³ per atom
* total DFT energy (no corrections): -0.20148 Ry per atom

***

No. 6
Material: KTlTe2
Method: DFT, PBE-GGA
State: optimized geometry

Geometry as POSCAR:
```
KTlTe2
1.0
-3.078 2.461 -1.665
-1.876 0.249 3.837
4.827 7.315 1.886
K Te Tl
1 2 1
direct
0.500 0.500 0.800
0.000 0.000 0.984
0.500 0.500 0.406
0.000 0.000 0.310
```

* DOS at the Fermi energy: 3.67 states/eV per cell
* volume: 41.0 Å³ per atom
* total DFT energy (no corrections): -0.20421 Ry per atom

***

Formation energy (no corrections) in eV/atom, matching the order above: -0.4415, -0.6298, -0.4314, -0.4567, -0.5395, -0.3417